[1]
! ZrGaAsO (PBE, optimized geometry); values from VASP
&SYSTEM
  ibrav = 0, nat = 8, ntyp = 4
/
ATOMIC_SPECIES
Zr 91.22 Zr.upf
Ga 69.72 Ga.upf
As 74.92 As.upf
O 16.00 O.upf
CELL_PARAMETERS angstrom
4.0097 0.0000 0.0000
0.0000 5.8065 0.0000
0.0000 0.0000 6.2637
ATOMIC_POSITIONS angstrom
Zr 0.0000 0.5146 0.0000
Zr 0.0000 5.2919 3.1319
Ga 2.0048 1.9368 1.8102
Ga 2.0048 3.8697 4.9420
As 2.0048 1.2645 4.4127
As 2.0048 4.5420 1.2808
O 0.0000 1.2429 2.0171
O 0.0000 4.5636 5.1490
! Energy above the lowest structure with this stoichiometry, meV/atom: 226
! Crystal system: orthorhombic
! Space group: Pmc2_1 (26)

=====

[2]
! La2FeCoGe2C (PBE, optimized geometry); values from VASP
&SYSTEM
  ibrav = 0, nat = 7, ntyp = 5
/
ATOMIC_SPECIES
La 138.91 La.upf
Fe 55.84 Fe.upf
Co 58.93 Co.upf
Ge 72.64 Ge.upf
C 12.01 C.upf
CELL_PARAMETERS angstrom
5.5536 -2.0392 0.0000
5.5536 2.0392 0.0000
-4.4266 0.0000 5.6764
ATOMIC_POSITIONS angstrom
La 0.0000 0.0000 0.0000
La -1.3698 0.0000 3.3807
Fe 6.6060 0.0000 2.0907
Co 3.1320 0.0000 1.2732
Ge 1.6913 0.0000 3.1809
Ge 8.0422 0.0000 0.1980
C 4.8870 0.0000 1.7047
! Crystal system: monoclinic
! E_tot, eV/atom: -6.815
! Space group: Cm (8)

=====

[3]
! LaHoSbI2 (PBE, optimized geometry); values from VASP
&SYSTEM
  ibrav = 0, nat = 5, ntyp = 4
/
ATOMIC_SPECIES
La 138.91 La.upf
Ho 164.93 Ho.upf
Sb 121.76 Sb.upf
I 126.90 I.upf
CELL_PARAMETERS angstrom
4.4375 0.0000 0.0000
-2.2187 3.8430 0.0000
0.0000 0.0000 11.4550
ATOMIC_POSITIONS angstrom
La 0.0000 0.0000 0.0000
Ho 0.0000 2.5620 3.4815
Sb 2.2187 1.2810 1.8778
I 0.0000 0.0000 5.3734
I 0.0000 2.5620 9.3776
! Crystal system: trigonal
! E_tot, eV/atom: -4.674
! Space group: P3m1 (156)

=====

[4]
! KHoZnTe3 (PBE, optimized geometry); values from VASP
&SYSTEM
  ibrav = 0, nat = 24, ntyp = 4
/
ATOMIC_SPECIES
K 39.10 K.upf
Ho 164.93 Ho.upf
Zn 65.41 Zn.upf
Te 127.60 Te.upf
CELL_PARAMETERS angstrom
16.1659 0.0000 0.0000
0.0000 4.3828 0.0000
0.0000 0.0000 11.7685
ATOMIC_POSITIONS angstrom
K 3.7660 1.0957 0.4757
K 4.3169 3.2871 6.3600
K 11.8490 1.0957 5.4085
K 12.3999 3.2871 11.2928
Ho 0.3386 1.0957 4.0800
Ho 7.7444 3.2871 9.9642
Ho 8.4215 1.0957 1.8043
Ho 15.8274 3.2871 7.6886
Zn 0.2496 3.2871 1.1630
Zn 7.8334 1.0957 7.0473
Zn 8.3325 3.2871 4.7213
Zn 15.9164 1.0957 10.6055
Te 1.3826 3.2871 10.4068
Te 1.6172 1.0957 6.8141
Te 2.2012 3.2871 2.9450
Te 5.8818 1.0957 8.8292
Te 6.4658 3.2871 0.9298
Te 6.7003 1.0957 4.5225
Te 9.4656 3.2871 7.2460
Te 9.7001 1.0957 10.8387
Te 10.2842 3.2871 2.9393
Te 13.9647 1.0957 8.8236
Te 14.5488 3.2871 4.9545
Te 14.7833 1.0957 1.3617
! Energy above the lowest structure with this stoichiometry, meV/atom: 16
! Crystal system: orthorhombic
! Space group: Pnma (62)

=====

[5]
! DyTlB (PBE, optimized geometry); values from VASP
&SYSTEM
  ibrav = 0, nat = 3, ntyp = 3
/
ATOMIC_SPECIES
Dy 162.50 Dy.upf
Tl 204.38 Tl.upf
B 10.81 B.upf
CELL_PARAMETERS angstrom
0.0000 3.1178 3.1178
3.1178 0.0000 3.1178
3.1178 3.1178 0.0000
ATOMIC_POSITIONS angstrom
Dy 0.0000 0.0000 0.0000
Tl 3.1178 3.1178 3.1178
B 1.5589 1.5589 1.5589
! Energy above the lowest structure with this stoichiometry, meV/atom: 0
! Crystal system: cubic
! Space group: F-43m (216)

=====

[6]
! ZnSiO3 (PBE, optimized geometry); values from VASP
&SYSTEM
  ibrav = 0, nat = 10, ntyp = 3
/
ATOMIC_SPECIES
Zn 65.41 Zn.upf
Si 28.09 Si.upf
O 16.00 O.upf
CELL_PARAMETERS angstrom
8.6410 0.0000 0.0000
0.0000 2.8844 0.0000
0.0000 0.0000 4.5148
ATOMIC_POSITIONS angstrom
Zn 0.0000 0.0000 0.0000
Zn 4.3205 0.0000 0.0000
Si 2.1603 1.4422 1.9647
Si 6.4808 1.4422 2.5501
O 0.8255 1.4422 1.0593
O 2.1603 0.0000 2.8683
O 3.4950 1.4422 1.0593
O 5.1460 1.4422 3.4555
O 6.4808 0.0000 1.6465
O 7.8155 1.4422 3.4555
! Crystal system: orthorhombic
! E_tot, eV/atom: -6.441
! Space group: Pmma (51)

=====

[7]
! Nd3Zn11 (PBE, optimized geometry); values from VASP
&SYSTEM
  ibrav = 0, nat = 14, ntyp = 2
/
ATOMIC_SPECIES
Nd 144.24 Nd.upf
Zn 65.41 Zn.upf
CELL_PARAMETERS angstrom
-2.2076 5.0394 5.7215
2.2076 -5.0394 5.7215
2.2076 5.0394 -5.7215
ATOMIC_POSITIONS angstrom
Nd 0.0000 0.0000 0.0000
Nd 0.0000 2.9834 0.0000
Nd 0.0000 7.0953 0.0000
Zn 2.2076 1.4021 -1.5332
Zn 2.2076 3.6160 -2.6608
Zn 2.2076 1.4021 1.5332
Zn 2.2076 0.0000 3.6435
Zn 0.0000 1.4234 3.0607
Zn 0.0000 0.0000 5.7215
Zn 2.2076 3.6160 2.6608
Zn 0.0000 5.0394 2.0781
Zn 0.0000 3.6373 4.1883
Zn 0.0000 1.4234 8.3824
Zn 0.0000 3.6373 7.2548
! Energy above the lowest structure with this stoichiometry, meV/atom: 196
! Crystal system: orthorhombic
! Space group: Immm (71)
! ΔE_f, eV per atom: -0.1370

=====

[8]
! BaCuF6 (PBE, optimized geometry); values from VASP
&SYSTEM
  ibrav = 0, nat = 8, ntyp = 3
/
ATOMIC_SPECIES
Ba 137.33 Ba.upf
Cu 63.55 Cu.upf
F 19.00 F.upf
CELL_PARAMETERS angstrom
4.5821 0.0000 0.0000
-0.6762 4.6591 0.0000
-0.7186 -0.6732 4.6350
ATOMIC_POSITIONS angstrom
Ba 0.0000 0.0000 0.0000
Cu 1.5937 1.9929 2.3175
F 0.1392 2.4455 1.3042
F 0.7826 0.3694 2.6384
F 0.8701 2.7596 3.8581
F 2.3173 1.2263 0.7769
F 2.4048 3.6164 1.9966
F 3.0482 1.5404 3.3308
! Crystal system: triclinic
! E_tot, eV/atom: -4.212
! Space group: P-1 (2)

=====

[9]
! HoCoSi2Au (PBE, optimized geometry); values from VASP
&SYSTEM
  ibrav = 0, nat = 5, ntyp = 4
/
ATOMIC_SPECIES
Ho 164.93 Ho.upf
Co 58.93 Co.upf
Si 28.09 Si.upf
Au 196.97 Au.upf
CELL_PARAMETERS angstrom
-2.0188 2.0188 5.0665
2.0188 -2.0188 5.0665
2.0188 2.0188 -5.0665
ATOMIC_POSITIONS angstrom
Ho 0.0000 0.0000 0.0000
Co 0.0000 2.0188 2.5333
Si 0.0000 0.0000 3.9050
Si 0.0000 0.0000 6.2281
Au 2.0188 0.0000 2.5333
! Crystal system: tetragonal
! E_tot, eV/atom: -5.759
! Space group: I-4m2 (119)

=====

[10]
! Pm2Ga5Cu3 (PBE, optimized geometry); values from VASP
&SYSTEM
  ibrav = 0, nat = 20, ntyp = 3
/
ATOMIC_SPECIES
Pm 145.00 Pm.upf
Ga 69.72 Ga.upf
Cu 63.55 Cu.upf
CELL_PARAMETERS angstrom
-5.1020 5.9624 2.9706
5.1020 -5.9624 2.9706
5.1020 5.9624 -2.9706
ATOMIC_POSITIONS angstrom
Pm 2.4457 1.5463 0.0000
Pm 2.4457 -1.5463 2.9706
Pm 2.6563 7.5086 0.0000
Pm 2.6563 4.4161 2.9706
Ga 5.1020 -2.8092 1.4853
Ga 6.6341 1.3035 0.0000
Ga 0.0000 0.0000 1.4853
Ga 1.5321 4.6589 0.0000
Ga 5.1020 2.8092 1.4853
Ga 0.0000 3.1531 1.4853
Ga 3.5699 1.3035 2.9706
Ga 0.0000 0.0000 4.4558
Ga -1.5321 4.6589 2.9706
Ga 0.0000 8.7716 1.4853
Cu 3.9134 -4.3907 2.9706
Cu 5.1020 0.0000 1.4853
Cu 3.9134 4.3907 0.0000
Cu 1.1886 1.5717 2.9706
Cu 0.0000 5.9624 1.4853
Cu 1.1886 10.3530 0.0000
! Crystal system: orthorhombic
! E_tot, eV/atom: -4.080
! Space group: Ibam (72)